The following is a DFT calculation (PBE-GGA) of crystalline TmAlNi5 at its relaxed geometry.

Cell and atoms, written as CIF:
```
data_TmAlNi5
_cell_length_a 4.773
_cell_length_b 7.832
_cell_length_c 9.951
_cell_angle_alpha 90.00
_cell_angle_beta 90.00
_cell_angle_gamma 90.00
_space_group_name_H-M_alt 'P 1'
_space_group_IT_number 1
_space_group_name_Hall 'P 1'
loop_
_atom_site_label
_atom_site_type_symbol
_atom_site_fract_x
_atom_site_fract_y
_atom_site_fract_z
Tm1 Tm 0.250 0.248 0.941
Tm2 Tm 0.750 0.252 0.441
Tm3 Tm 0.250 0.748 0.559
Tm4 Tm 0.750 0.752 0.059
Al1 Al 0.250 0.859 0.858
Al2 Al 0.750 0.641 0.358
Al3 Al 0.250 0.359 0.642
Al4 Al 0.750 0.141 0.142
Ni1 Ni 0.250 0.598 0.017
Ni2 Ni 0.750 0.902 0.517
Ni3 Ni 0.250 0.098 0.483
Ni4 Ni 0.750 0.402 0.983
Ni5 Ni 0.750 0.313 0.749
Ni6 Ni 0.250 0.187 0.249
Ni7 Ni 0.750 0.813 0.751
Ni8 Ni 0.250 0.687 0.251
Ni9 Ni 0.250 0.950 0.091
Ni10 Ni 0.750 0.550 0.591
Ni11 Ni 0.250 0.450 0.409
Ni12 Ni 0.750 0.050 0.909
Ni13 Ni 0.994 0.434 0.194
Ni14 Ni 0.006 0.066 0.694
Ni15 Ni 0.506 0.934 0.306
Ni16 Ni 0.494 0.566 0.806
Ni17 Ni 0.006 0.566 0.806
Ni18 Ni 0.994 0.934 0.306
Ni19 Ni 0.494 0.066 0.694
Ni20 Ni 0.506 0.434 0.194
```

Calculated values
* E: -5.762 eV/atom
* Fermi-level density of states: 0.96 states/eV/atom
* space-group type: Pnma